! CaVPb2Br GGA-PBE relaxed; values from VASP
&SYSTEM
  ibrav = 0, nat = 5, ntyp = 4
/
ATOMIC_SPECIES
Ca 40.08 Ca.upf
V 50.94 V.upf
Pb 207.20 Pb.upf
Br 79.90 Br.upf
CELL_PARAMETERS angstrom
5.928 0.000 0.000
0.000 5.928 0.000
0.000 0.000 4.686
ATOMIC_POSITIONS crystal
Ca 0.000 0.000 0.000
V 0.500 0.500 0.000
Pb 0.000 0.500 0.500
Pb 0.500 0.000 0.500
Br 0.500 0.500 0.500
! Final energy = -3.65 eV/atom

=====

! AcZnSnH GGA-PBE relaxed; values from VASP
&SYSTEM
  ibrav = 0, nat = 4, ntyp = 4
/
ATOMIC_SPECIES
Ac 227.00 Ac.upf
Zn 65.41 Zn.upf
Sn 118.71 Sn.upf
H 1.01 H.upf
CELL_PARAMETERS angstrom
4.568 0.000 0.000
-2.284 3.956 0.000
0.000 0.000 4.752
ATOMIC_POSITIONS crystal
Ac 0.000 0.000 0.000
Zn 0.333 0.667 0.444
Sn 0.667 0.333 0.527
H 0.333 0.667 0.059
! Final energy = -3.77 eV/atom

=====

! Pm3YTh4S8 GGA-PBE relaxed; values from VASP
&SYSTEM
  ibrav = 0, nat = 16, ntyp = 4
/
ATOMIC_SPECIES
Pm 145.00 Pm.upf
Y 88.91 Y.upf
Th 232.04 Th.upf
S 32.06 S.upf
CELL_PARAMETERS angstrom
3.977 2.296 6.715
-3.977 2.296 6.715
0.000 -4.592 6.715
ATOMIC_POSITIONS crystal
Pm 0.000 0.500 0.500
Pm 0.500 0.000 0.500
Pm 0.500 0.500 0.000
Y 0.000 0.000 0.000
Th 0.000 0.000 0.500
Th 0.000 0.500 0.000
Th 0.500 0.000 0.000
Th 0.500 0.500 0.500
S 0.245 0.245 0.752
S 0.245 0.752 0.245
S 0.248 0.755 0.755
S 0.251 0.251 0.251
S 0.749 0.749 0.749
S 0.752 0.245 0.245
S 0.755 0.248 0.755
S 0.755 0.755 0.248
! Final energy = -7.14 eV/atom

=====

! Rb5I2BrO GGA-PBE relaxed; values from VASP
&SYSTEM
  ibrav = 0, nat = 9, ntyp = 4
/
ATOMIC_SPECIES
Rb 85.47 Rb.upf
I 126.90 I.upf
Br 79.90 Br.upf
O 16.00 O.upf
CELL_PARAMETERS angstrom
-2.762 4.058 8.745
2.762 -4.058 8.745
2.762 4.058 -8.745
ATOMIC_POSITIONS crystal
Rb 0.000 0.000 0.000
Rb 0.126 0.387 0.739
Rb 0.352 0.613 0.739
Rb 0.648 0.387 0.261
Rb 0.874 0.613 0.261
I 0.210 0.210 0.000
I 0.790 0.790 0.000
Br 0.500 0.000 0.500
O 0.000 0.500 0.500
! Final energy = -2.98 eV/atom

=====

! Ac4PrS6 GGA-PBE relaxed; values from VASP
&SYSTEM
  ibrav = 0, nat = 22, ntyp = 3
/
ATOMIC_SPECIES
Ac 227.00 Ac.upf
Pr 140.91 Pr.upf
S 32.06 S.upf
CELL_PARAMETERS angstrom
5.983 3.455 4.834
-5.983 3.455 4.834
0.000 -6.909 4.834
ATOMIC_POSITIONS crystal
Ac 0.127 0.750 0.373
Ac 0.250 0.250 0.250
Ac 0.250 0.627 0.873
Ac 0.373 0.127 0.750
Ac 0.627 0.873 0.250
Ac 0.750 0.373 0.127
Ac 0.750 0.750 0.750
Ac 0.873 0.250 0.627
Pr 0.000 0.000 0.000
Pr 0.500 0.500 0.500
S 0.062 0.913 0.685
S 0.087 0.315 0.938
S 0.185 0.413 0.562
S 0.315 0.938 0.087
S 0.413 0.562 0.185
S 0.438 0.815 0.587
S 0.562 0.185 0.413
S 0.587 0.438 0.815
S 0.685 0.062 0.913
S 0.815 0.587 0.438
S 0.913 0.685 0.062
S 0.938 0.087 0.315
! Final energy = -6.13 eV/atom

=====

! Pm3HAu GGA-PBE relaxed; values from VASP
&SYSTEM
  ibrav = 0, nat = 10, ntyp = 3
/
ATOMIC_SPECIES
Pm 145.00 Pm.upf
H 1.01 H.upf
Au 196.97 Au.upf
CELL_PARAMETERS angstrom
7.249 0.000 0.000
0.000 3.853 0.000
-1.322 0.000 8.762
ATOMIC_POSITIONS crystal
Pm 0.080 0.250 0.348
Pm 0.239 0.250 0.944
Pm 0.386 0.750 0.630
Pm 0.614 0.250 0.370
Pm 0.761 0.750 0.056
Pm 0.920 0.750 0.652
H 0.159 0.250 0.650
H 0.841 0.750 0.350
Au 0.329 0.750 0.204
Au 0.671 0.250 0.796
! Distance to the lowest polymorph of the same formula = 0.000 eV per atom

=====

! La6IrAu3 GGA-PBE relaxed; values from VASP
&SYSTEM
  ibrav = 0, nat = 20, ntyp = 3
/
ATOMIC_SPECIES
La 138.91 La.upf
Ir 192.22 Ir.upf
Au 196.97 Au.upf
CELL_PARAMETERS angstrom
7.434 0.000 0.000
0.000 7.906 0.000
-6.447 0.000 10.845
ATOMIC_POSITIONS crystal
La 0.083 0.052 0.247
La 0.083 0.448 0.747
La 0.231 0.685 0.082
La 0.231 0.815 0.582
La 0.374 0.173 0.068
La 0.374 0.327 0.568
La 0.626 0.673 0.432
La 0.626 0.827 0.932
La 0.769 0.185 0.418
La 0.769 0.315 0.918
La 0.917 0.552 0.253
La 0.917 0.948 0.753
Ir 0.000 0.000 0.000
Ir 0.000 0.500 0.500
Au 0.324 0.114 0.774
Au 0.324 0.386 0.274
Au 0.500 0.000 0.500
Au 0.500 0.500 0.000
Au 0.676 0.614 0.726
Au 0.676 0.886 0.226
! ΔH_f (0 K) = -0.643 eV per atom

=====

! Zr13Co2 GGA-PBE relaxed; values from VASP
&SYSTEM
  ibrav = 0, nat = 15, ntyp = 2
/
ATOMIC_SPECIES
Zr 91.22 Zr.upf
Co 58.93 Co.upf
CELL_PARAMETERS angstrom
5.698 0.000 0.000
-0.085 5.962 0.000
-1.406 -1.106 9.593
ATOMIC_POSITIONS crystal
Zr 0.000 0.000 0.000
Zr 0.089 0.923 0.320
Zr 0.204 0.666 0.573
Zr 0.232 0.416 0.262
Zr 0.263 0.421 0.900
Zr 0.389 0.198 0.585
Zr 0.428 0.921 0.846
Zr 0.572 0.079 0.154
Zr 0.611 0.802 0.415
Zr 0.737 0.579 0.100
Zr 0.768 0.584 0.738
Zr 0.796 0.334 0.427
Zr 0.911 0.077 0.680
Co 0.292 0.724 0.111
Co 0.708 0.276 0.889
! ΔH_f (0 K) = -0.045 eV per atom

=====

! KNaCd2Ag GGA-PBE relaxed; values from VASP
&SYSTEM
  ibrav = 0, nat = 5, ntyp = 4
/
ATOMIC_SPECIES
K 39.10 K.upf
Na 22.99 Na.upf
Cd 112.41 Cd.upf
Ag 107.87 Ag.upf
CELL_PARAMETERS angstrom
5.448 0.000 0.000
0.000 5.448 0.000
0.000 0.000 6.038
ATOMIC_POSITIONS crystal
K 0.000 0.000 0.000
Na 0.500 0.500 0.000
Cd 0.000 0.500 0.500
Cd 0.500 0.000 0.500
Ag 0.000 0.000 0.500
! Distance to the lowest polymorph of the same formula = 0.131 eV per atom
! ΔH_f (0 K) = 0.091 eV per atom

=====

! Tb5Pm4Pr GGA-PBE relaxed; values from VASP
&SYSTEM
  ibrav = 0, nat = 10, ntyp = 3
/
ATOMIC_SPECIES
Tb 158.93 Tb.upf
Pm 145.00 Pm.upf
Pr 140.91 Pr.upf
CELL_PARAMETERS angstrom
-5.300 5.300 3.051
5.300 -5.300 3.051
5.300 5.300 -3.051
ATOMIC_POSITIONS crystal
Tb 0.000 0.000 0.000
Tb 0.070 0.070 0.621
Tb 0.070 0.449 0.000
Tb 0.449 0.070 0.000
Tb 0.449 0.449 0.379
Pm 0.119 0.792 0.327
Pm 0.466 0.792 0.673
Pm 0.792 0.119 0.327
Pm 0.792 0.466 0.673
Pr 0.530 0.530 0.000
! Distance to the lowest polymorph of the same formula = 0.234 eV per atom
! ΔH_f (0 K) = 0.248 eV per atom

=====

! BeBPd2 GGA-PBE relaxed; values from VASP
&SYSTEM
  ibrav = 0, nat = 4, ntyp = 3
/
ATOMIC_SPECIES
Be 9.01 Be.upf
B 10.81 B.upf
Pd 106.42 Pd.upf
CELL_PARAMETERS angstrom
0.000 2.799 2.799
2.799 0.000 2.799
2.799 2.799 0.000
ATOMIC_POSITIONS crystal
Be 0.000 0.000 0.000
B 0.500 0.500 0.500
Pd 0.250 0.250 0.250
Pd 0.750 0.750 0.750
! Distance to the lowest polymorph of the same formula = 0.000 eV per atom
! ΔH_f (0 K) = -0.044 eV per atom

=====

! Pm3Ga2Pt GGA-PBE relaxed; values from VASP
&SYSTEM
  ibrav = 0, nat = 24, ntyp = 3
/
ATOMIC_SPECIES
Pm 145.00 Pm.upf
Ga 69.72 Ga.upf
Pt 195.08 Pt.upf
CELL_PARAMETERS angstrom
12.137 0.000 0.000
0.000 4.430 0.000
0.000 0.000 11.448
ATOMIC_POSITIONS crystal
Pm 0.049 0.250 0.125
Pm 0.119 0.750 0.558
Pm 0.227 0.250 0.801
Pm 0.273 0.750 0.301
Pm 0.381 0.250 0.058
Pm 0.451 0.750 0.625
Pm 0.549 0.250 0.375
Pm 0.619 0.750 0.942
Pm 0.727 0.250 0.699
Pm 0.773 0.750 0.199
Pm 0.881 0.250 0.442
Pm 0.951 0.750 0.875
Ga 0.012 0.750 0.304
Ga 0.192 0.750 0.007
Ga 0.308 0.250 0.507
Ga 0.488 0.250 0.804
Ga 0.512 0.750 0.196
Ga 0.692 0.750 0.493
Ga 0.808 0.250 0.993
Ga 0.988 0.250 0.696
Pt 0.124 0.250 0.377
Pt 0.376 0.750 0.877
Pt 0.624 0.250 0.123
Pt 0.876 0.750 0.623
! Distance to the lowest polymorph of the same formula = 0.000 eV per atom
! ΔH_f (0 K) = -0.753 eV per atom

=====

! Tc2HgHW GGA-PBE relaxed; values from VASP
&SYSTEM
  ibrav = 0, nat = 5, ntyp = 4
/
ATOMIC_SPECIES
Tc 98.00 Tc.upf
Hg 200.59 Hg.upf
H 1.01 H.upf
W 183.84 W.upf
CELL_PARAMETERS angstrom
4.742 0.000 0.000
0.000 4.742 0.000
0.000 0.000 5.468
ATOMIC_POSITIONS crystal
Tc 0.000 0.500 0.000
Tc 0.500 0.000 0.000
Hg 0.000 0.000 0.500
H 0.500 0.500 0.500
W 0.000 0.000 0.000
! Final energy = -5.38 eV/atom

=====

! Cs3CaS GGA-PBE relaxed; values from VASP
&SYSTEM
  ibrav = 0, nat = 5, ntyp = 3
/
ATOMIC_SPECIES
Cs 132.91 Cs.upf
Ca 40.08 Ca.upf
S 32.06 S.upf
CELL_PARAMETERS angstrom
6.904 0.000 0.000
0.000 6.904 0.000
0.000 0.000 6.904
ATOMIC_POSITIONS crystal
Cs 0.000 0.000 0.500
Cs 0.000 0.500 0.000
Cs 0.500 0.000 0.000
Ca 0.500 0.500 0.500
S 0.000 0.000 0.000
! Distance to the lowest polymorph of the same formula = 0.000 eV per atom

=====

! Ni2HgPt GGA-PBE relaxed; values from VASP
&SYSTEM
  ibrav = 0, nat = 4, ntyp = 3
/
ATOMIC_SPECIES
Ni 58.69 Ni.upf
Hg 200.59 Hg.upf
Pt 195.08 Pt.upf
CELL_PARAMETERS angstrom
0.000 3.097 3.097
3.097 0.000 3.097
3.097 3.097 0.000
ATOMIC_POSITIONS crystal
Ni 0.000 0.000 0.000
Ni 0.250 0.250 0.250
Hg 0.750 0.750 0.750
Pt 0.500 0.500 0.500
! ΔH_f (0 K) = 0.215 eV per atom

=====

! SmTi2AlIr4 GGA-PBE relaxed; values from VASP
&SYSTEM
  ibrav = 0, nat = 8, ntyp = 4
/
ATOMIC_SPECIES
Sm 150.36 Sm.upf
Ti 47.87 Ti.upf
Al 26.98 Al.upf
Ir 192.22 Ir.upf
CELL_PARAMETERS angstrom
2.170 1.253 8.417
-2.170 1.253 8.417
0.000 -2.505 8.417
ATOMIC_POSITIONS crystal
Sm 0.000 0.000 0.000
Ti 0.239 0.239 0.239
Ti 0.761 0.761 0.761
Al 0.500 0.500 0.500
Ir 0.133 0.133 0.133
Ir 0.401 0.401 0.401
Ir 0.599 0.599 0.599
Ir 0.867 0.867 0.867
! ΔH_f (0 K) = -0.764 eV per atom

=====

! NiRhPb2 GGA-PBE relaxed; values from VASP
&SYSTEM
  ibrav = 0, nat = 4, ntyp = 3
/
ATOMIC_SPECIES
Ni 58.69 Ni.upf
Rh 102.91 Rh.upf
Pb 207.20 Pb.upf
CELL_PARAMETERS angstrom
-1.657 2.093 5.757
1.657 -2.093 5.757
1.657 2.093 -5.757
ATOMIC_POSITIONS crystal
Ni 0.000 0.000 0.000
Rh 0.804 0.304 0.500
Pb 0.206 0.706 0.500
Pb 0.471 0.471 0.000
! Distance to the lowest polymorph of the same formula = 0.115 eV per atom
! ΔH_f (0 K) = 0.173 eV per atom

=====

! NdY6Ho3 GGA-PBE relaxed; values from VASP
&SYSTEM
  ibrav = 0, nat = 20, ntyp = 3
/
ATOMIC_SPECIES
Nd 144.24 Nd.upf
Y 88.91 Y.upf
Ho 164.93 Ho.upf
CELL_PARAMETERS angstrom
4.834 -10.491 0.000
4.834 10.491 0.000
0.000 0.000 6.411
ATOMIC_POSITIONS crystal
Nd 0.162 0.838 0.500
Nd 0.838 0.162 0.000
Y 0.015 0.985 0.302
Y 0.105 0.542 0.818
Y 0.261 0.379 0.060
Y 0.301 0.699 0.277
Y 0.379 0.261 0.560
Y 0.458 0.895 0.818
Y 0.542 0.105 0.318
Y 0.621 0.739 0.060
Y 0.699 0.301 0.777
Y 0.739 0.621 0.560
Y 0.895 0.458 0.318
Y 0.985 0.015 0.802
Ho 0.043 0.296 0.474
Ho 0.296 0.043 0.974
Ho 0.418 0.582 0.585
Ho 0.582 0.418 0.085
Ho 0.704 0.957 0.474
Ho 0.957 0.704 0.974
! Distance to the lowest polymorph of the same formula = 0.000 eV per atom
! ΔH_f (0 K) = 0.116 eV per atom

=====

! Sm3PSeN GGA-PBE relaxed; values from VASP
&SYSTEM
  ibrav = 0, nat = 12, ntyp = 4
/
ATOMIC_SPECIES
Sm 150.36 Sm.upf
P 30.97 P.upf
Se 78.96 Se.upf
N 14.01 N.upf
CELL_PARAMETERS angstrom
8.423 0.000 0.000
0.000 4.049 0.000
-1.583 0.000 9.100
ATOMIC_POSITIONS crystal
Sm 0.083 0.250 0.347
Sm 0.328 0.250 0.983
Sm 0.390 0.750 0.658
Sm 0.610 0.250 0.342
Sm 0.672 0.750 0.017
Sm 0.917 0.750 0.653
P 0.152 0.250 0.653
P 0.848 0.750 0.347
Se 0.329 0.750 0.298
Se 0.671 0.250 0.702
N 0.410 0.750 0.899
N 0.590 0.250 0.101
! Final energy = -6.74 eV/atom

=====

! ScCo2MoC GGA-PBE relaxed; values from VASP
&SYSTEM
  ibrav = 0, nat = 5, ntyp = 4
/
ATOMIC_SPECIES
Sc 44.96 Sc.upf
Co 58.93 Co.upf
Mo 95.94 Mo.upf
C 12.01 C.upf
CELL_PARAMETERS angstrom
3.899 0.000 0.000
0.000 3.899 0.000
0.000 0.000 4.155
ATOMIC_POSITIONS crystal
Sc 0.000 0.000 0.000
Co 0.000 0.500 0.500
Co 0.500 0.000 0.500
Mo 0.500 0.500 0.000
C 0.500 0.500 0.500
! ΔH_f (0 K) = -0.088 eV per atom

=====

! FeNi2H GGA-PBE relaxed; values from VASP
&SYSTEM
  ibrav = 0, nat = 8, ntyp = 3
/
ATOMIC_SPECIES
Fe 55.84 Fe.upf
Ni 58.69 Ni.upf
H 1.01 H.upf
CELL_PARAMETERS angstrom
-2.862 2.862 2.286
2.862 -2.862 2.286
2.862 2.862 -2.286
ATOMIC_POSITIONS crystal
Fe 0.000 0.000 0.000
Fe 0.750 0.250 0.500
Ni 0.228 0.625 0.103
Ni 0.375 0.478 0.603
Ni 0.522 0.125 0.897
Ni 0.875 0.772 0.397
H 0.250 0.750 0.500
H 0.500 0.500 0.000
! Distance to the lowest polymorph of the same formula = 0.162 eV per atom

=====

! La4Tb2DyTm GGA-PBE relaxed; values from VASP
&SYSTEM
  ibrav = 0, nat = 8, ntyp = 4
/
ATOMIC_SPECIES
La 138.91 La.upf
Tb 158.93 Tb.upf
Dy 162.50 Dy.upf
Tm 168.93 Tm.upf
CELL_PARAMETERS angstrom
5.221 0.000 0.000
0.000 5.253 0.000
0.000 0.000 9.946
ATOMIC_POSITIONS crystal
La 0.000 0.000 0.249
La 0.000 0.000 0.751
La 0.500 0.500 0.249
La 0.500 0.500 0.751
Tb 0.000 0.500 0.000
Tb 0.500 0.000 0.500
Dy 0.000 0.500 0.500
Tm 0.500 0.000 0.000
! ΔH_f (0 K) = 0.020 eV per atom